(1)
Compound: Ac6TcNi2
Source: Alexandria
Functional: PBE
Structure: relaxed

Lattice parameters (Å, degrees): 7.400 6.944 14.580 90.00 120.49 90.00
Positions (direct):
Ac 0.004 0.242 0.335
Ac 0.004 0.258 0.835
Ac 0.334 0.240 0.665
Ac 0.334 0.260 0.165
Ac 0.337 0.731 0.000
Ac 0.337 0.769 0.500
Ac 0.663 0.231 0.500
Ac 0.663 0.269 0.000
Ac 0.666 0.740 0.835
Ac 0.666 0.760 0.335
Ac 0.996 0.742 0.165
Ac 0.996 0.758 0.665
Tc 0.000 0.000 0.500
Tc 0.000 0.500 0.000
Ni 0.322 0.001 0.323
Ni 0.322 0.499 0.823
Ni 0.678 0.501 0.177
Ni 0.678 0.999 0.677

Results
total DFT energy (no corrections): -94.20 eV per cell

(2)
Compound: Tl2MoBr
Source: Alexandria
Functional: PBE
Structure: relaxed

Lattice parameters (Å, degrees): 5.461 5.461 3.168 90.00 90.00 91.05
Positions (direct):
Tl 0.000 0.500 0.000
Tl 0.500 0.000 0.000
Mo 0.000 0.000 0.500
Br 0.500 0.500 0.500

Results
ΔE_f (raw): 547 meV per atom
energy above the lowest structure with this stoichiometry: 277 meV/atom
total DFT energy (no corrections): -15.05 eV per cell

(3)
Compound: KZn2Hg
Source: Alexandria
Functional: PBE
Structure: relaxed

Lattice parameters (Å, degrees): 10.632 10.632 10.632 152.76 152.76 38.90
Positions (direct):
K 0.375 0.625 0.750
K 0.625 0.375 0.250
Zn 0.000 0.000 0.000
Zn 0.000 0.000 0.500
Zn 0.000 0.500 0.000
Zn 0.500 0.000 0.500
Hg 0.125 0.875 0.250
Hg 0.875 0.125 0.750

Results
total DFT energy (no corrections): -7.47 eV per cell